Below is a geometry-optimized ZrFeGe structure, with properties calculated at the PBE level.

a b c (Å): 4.2168 4.2168 4.2168
angles (deg): 60.00 60.00 60.00
Last column: nearest neighbours and their distance in Å.
Element x y z (fractional)
Zr  0.0000  0.0000  0.0000  4 Fe 2.58
Fe  0.7500  0.7500  0.7500  4 Ge 2.58, 4 Zr 2.58
Ge  0.5000  0.5000  0.5000  4 Fe 2.58

For the total energy, the calculation gives -0.272 Ha/atom.

***

Below is a geometry-optimized ZrFe2Ge structure, with properties calculated at the PBE level.

a b c (Å): 4.3975 4.3975 4.3975
angles (deg): 60.00 60.00 60.00
Last column: nearest neighbours and their distance in Å.
Element x y z (fractional)
Zr  0.0000  0.0000  0.0000  4 Ge 2.69, 4 Fe 2.69
Fe  0.2500  0.2500  0.2500  4 Fe 2.69, 4 Zr 2.69
Fe  0.5000  0.5000  0.5000  4 Ge 2.69, 4 Fe 2.69
Ge  0.7500  0.7500  0.7500  4 Fe 2.69, 4 Zr 2.69

For the total energy, the calculation gives -0.278 Ha/atom.